BaZr2Sb | PBEsol | optimized geometry

Unit cell a=9.7161 b=9.7161 c=9.7161 alpha=22.07 beta=22.07 gamma=22.07
Closest atoms and distances in Å follow each position.
Element x y z (fractional)
Ba (0.0000, 0.0000, 0.0000)  6 Zr 3.59, 6 Ba 3.72
Zr (0.2322, 0.2322, 0.2322)  3 Sb 2.84
Zr (0.7678, 0.7678, 0.7678)  3 Sb 2.84
Sb (0.5000, 0.5000, 0.5000)  6 Zr 2.84

Results
Formation energy (no corrections): 129 meV/atom
Crystal system: trigonal
Energy: -6.09 eV/atom